# 1
This record from Alexandria via LeMat-Bulk describes a PBEsol-optimized structure of InNi2Sn. The functional is SCAN.

space group	Pmm2
crystal system	orthorhombic
energy	-25.6097	eV per atom

Lattice parameters (Å, degrees): 4.340 5.156 8.963 90.00 90.00 90.00
Sites, in units of the cell vectors:
In (0.500, 0.500, 0.332)
In (0.500, 0.000, 0.835)
In (0.500, 0.000, 0.167)
Ni (0.000, 0.500, 0.501)
Ni (0.000, 0.000, 0.000)
Ni (0.000, 0.750, 0.250)
Ni (0.000, 0.251, 0.749)
Ni (0.000, 0.250, 0.250)
Ni (0.000, 0.749, 0.749)
Sn (0.500, 0.500, 0.666)
Sn (0.000, 0.500, 0.001)
Sn (0.000, 0.000, 0.498)

---

# 2
This record from Alexandria via LeMat-Bulk describes a PBEsol-optimized structure of SrInNi2. The functional is SCAN.

space group	F-43m
crystal system	cubic
energy	-21.5582	eV per atom

Lattice parameters (Å, degrees): 4.732 4.732 4.732 60.00 60.00 60.00
Sites, in units of the cell vectors:
In (0.500, 0.500, 0.500)
Ni (0.000, 0.000, 0.000)
Ni (0.250, 0.250, 0.250)
Sr (0.750, 0.750, 0.750)

---

# 3
This record from Alexandria via LeMat-Bulk describes a PBEsol-optimized structure of SrIn4Ni. The functional is SCAN.

space group	Cmcm
crystal system	orthorhombic
energy	-29.0518	eV per atom

Lattice parameters (Å, degrees): 4.463 7.237 8.772 90.00 104.74 90.00
Sites, in units of the cell vectors:
Sr (0.879, 0.250, 0.758)
Sr (0.121, 0.750, 0.242)
Ni (0.225, 0.250, 0.450)
Ni (0.775, 0.750, 0.550)
In (0.310, 0.950, 0.621)
In (0.076, 0.250, 0.151)
In (0.690, 0.450, 0.379)
In (0.500, 0.500, 0.000)
In (0.924, 0.750, 0.849)
In (0.690, 0.050, 0.379)
In (0.310, 0.550, 0.621)
In (0.500, 0.000, 0.000)

---

# 4
This record from Alexandria via LeMat-Bulk describes a PBEsol-optimized structure of SrIn2Ni. The functional is SCAN.

space group	Cmmm
crystal system	orthorhombic
energy	-26.5327	eV per atom

Lattice parameters (Å, degrees): 4.124 5.187 5.187 116.43 90.00 90.00
Sites, in units of the cell vectors:
In (0.000, 0.173, 0.327)
In (0.000, 0.827, 0.673)
Ni (0.500, 0.000, 0.500)
Sr (0.500, 0.500, 0.000)